Crystalline Al2PtW at its relaxed geometry. Source: Alexandria via LeMat-Bulk, functional PBE.

Structure (POSCAR):
```
Al2PtW
1.0
-1.6854 -2.3494 -4.2194
-1.8167 -4.7606 0.4472
-0.6571 4.5142 2.3139
Al Pt W
2 1 1
Cartesian
-2.1124 -1.9007 0.4375 Al
0.0000 0.0000 0.0000 Al
-1.7510 -3.5550 -1.8861 Pt
-2.0468 -0.6951 -1.8958 W
```

## Properties
Its total energy is -27.7 eV/cell. As for the formation enthalpy at 0 K: -0.303 eV/atom. As for the magnetization: 0.0000 μB per atom.